Entry from the Alexandria database: an optimized crystal structure of K2ZrAlSi (PBE).

Unit cell a=6.5489 b=6.5489 c=4.5720 alpha=90.00 beta=90.00 gamma=90.00
With the nearest neighbours (Å) after each atom.
Element x y z (fractional)
K: 0.0000 0.5000 0.0000  2 Al 3.27
K: 0.5000 0.0000 0.0000  2 Al 3.27
Zr: 0.0000 0.0000 0.5000  8 K 3.99
Al: 0.5000 0.5000 0.0000  2 Si 2.29
Si: 0.5000 0.5000 0.5000  2 Al 2.29

Results
N(E_F)   1.18 states/eV/atom
ΔE_f (raw)   1.14 eV/atom
Total magnetization   2.9 μB per formula unit
Volume   39.22 Å³ per atom